[1]
LaDy4Er8: relaxed, PBE.

Computed properties:
The magnetization is 0.0 μB/cell. The calculation puts the calculated formation energy at 243.8 kJ/mol of formula units.

Lattice parameters (Å, degrees): 7.2646 7.2646 26.8601 90.00 90.00 120.00
With the nearest neighbours (Å) after each atom.
Space group R-3m (No. 166, hexagonal axes)
Inequivalent atoms, fractional coordinates:
La  0.0000  0.0000  0.0000 [3 per cell]  6 Er 2.91
Dy  0.0000  0.0000  0.5000 [3 per cell]  6 Er 3.31, 6 Dy 3.63
Dy  0.0000  0.5000  0.5000 [9 per cell]  6 Er 3.53-3.72, 6 Dy 3.63
Er  0.0000  0.0000  0.2809 [6 per cell]  9 Er 3.65-3.66, 3 Dy 3.72
Er  0.0375  0.5187  0.2686 [18 per cell]  1 La 2.91, 2 Er 3.22



[2]
La3Nd3Hg4: relaxed, PBE.

Computed properties:
The magnetization is 0.0 μB/cell. The calculation puts the calculated formation energy at -352.4 kJ/mol of formula units.

Lattice parameters (Å, degrees): 3.8993 12.6937 12.6435 90.00 90.00 90.00
With the nearest neighbours (Å) after each atom.
Space group Amm2 (No. 38)
Inequivalent atoms, fractional coordinates:
La  0.0000  0.0000  0.0000 [2 per cell]  6 Hg 3.25-3.31
La  0.0000  0.1654  0.6624 [4 per cell]  6 Hg 3.24-3.33
Nd  0.0000  0.0000  0.3288 [2 per cell]  6 Hg 3.19-3.28
Nd  0.5000  0.2482  0.4132 [4 per cell]  4 Hg 3.46-3.55, 2 La 3.85, 2 Nd 3.86
Hg  0.5000  0.0000  0.5282 [2 per cell]  4 Nd 3.19-3.47, 4 La 3.33, 1 Hg 3.37
Hg  0.5000  0.0000  0.7948 [2 per cell]  6 La 3.25-3.32, 1 Hg 3.37, 2 Nd 3.53
Hg  0.5000  0.1308  0.1664 [4 per cell]  4 La 3.24-3.31, 4 Nd 3.28-3.55, 1 Hg 3.32



[3]
KCuNiSe2: relaxed, PBE.

Computed properties:
The magnetization is 0.0 μB/cell. Its uncorrected formation energy is -0.440 eV/atom.

Lattice parameters (Å, degrees): 7.3640 5.6681 5.7380 90.00 109.96 90.00
With the nearest neighbours (Å) after each atom.
Space group P2/c (No. 13)
Inequivalent atoms, fractional coordinates:
K  0.0000  0.2295  0.2500 [2 per cell]  8 Se 3.29-3.61
Cu  0.5000  0.0000  0.0000 [2 per cell]  2 Se 2.30
Ni  0.5000  0.4304  0.2500 [2 per cell]  4 Se 2.34-2.44
Se  0.2840  0.3047  0.8661 [4 per cell]  1 Cu 2.30, 2 Ni 2.34-2.44



[4]
TcRhN3: relaxed, PBE.

Computed properties:
The magnetization is 0.0 μB/cell. Its uncorrected formation energy is 1.255 eV/atom.

Lattice parameters (Å, degrees): 3.8564 3.8564 3.8564 90.00 90.00 90.00
With the nearest neighbours (Å) after each atom.
Space group Pm-3m (No. 221)
Inequivalent atoms, fractional coordinates:
Tc  0.0000  0.0000  0.0000 [1 per cell]  6 N 1.93
Rh  0.5000  0.5000  0.5000 [1 per cell]  12 N 2.73
N  0.0000  0.0000  0.5000 [3 per cell]  2 Tc 1.93



[5]
ErAlRh2: relaxed, PBE.

Computed properties:
The magnetization is 0.0 μB/cell. The calculation puts the calculated formation energy at -358.5 kJ/mol of formula units.

Lattice parameters (Å, degrees): 3.2270 3.2270 6.3495 90.00 90.00 90.00
With the nearest neighbours (Å) after each atom.
Space group P4/mmm (No. 123)
Inequivalent atoms, fractional coordinates:
Er  0.0000  0.0000  0.0000 [1 per cell]  8 Rh 2.89, 2 Al 3.17, 4 Er 3.23
Al  0.0000  0.0000  0.5000 [1 per cell]  8 Rh 2.68
Rh  0.5000  0.5000  0.2784 [2 per cell]  4 Al 2.68, 1 Rh 2.81, 4 Er 2.89



[6]
AcPmCoAg: relaxed, PBE.

Computed properties:
The magnetization is 2.5 μB/cell. The calculation puts the calculated formation energy at 0.6 kJ/mol of formula units.

Lattice parameters (Å, degrees): 7.4207 7.4207 7.4207 90.00 90.00 90.00
With the nearest neighbours (Å) after each atom.
Space group F-43m (No. 216)
Inequivalent atoms, fractional coordinates:
Ac  0.0000  0.0000  0.0000 [4 per cell]  4 Co 3.21, 4 Ag 3.21
Pm  0.0000  0.0000  0.5000 [4 per cell]  4 Co 3.21, 4 Ag 3.21
Co  0.2500  0.2500  0.7500 [4 per cell]  4 Ac 3.21, 4 Pm 3.21
Ag  0.2500  0.2500  0.2500 [4 per cell]  4 Ac 3.21, 4 Pm 3.21



[7]
CaPBr2: relaxed, PBE.

Computed properties:
The magnetization is 11.9 μB/cell. Its uncorrected formation energy is -0.296 eV/atom.

Lattice parameters (Å, degrees): 7.5413 7.5413 7.5413 90.00 90.00 90.00
With the nearest neighbours (Å) after each atom.
Space group F-43m (No. 216)
Inequivalent atoms, fractional coordinates:
Ca  0.0000  0.0000  0.0000 [4 per cell]  4 Br 3.27, 4 P 3.27
P  0.2500  0.2500  0.2500 [4 per cell]  4 Ca 3.27, 4 Br 3.27
Br  0.0000  0.0000  0.5000 [4 per cell]  4 P 3.27, 4 Br 3.27
Br  0.2500  0.2500  0.7500 [4 per cell]  4 Br 3.27, 4 Ca 3.27



[8]
NiAsP2: relaxed, PBE.

Computed properties:
The magnetization is 0.0 μB/cell. The calculation puts the calculated formation energy at 167.3 kJ/mol of formula units.

Lattice parameters (Å, degrees): 5.2397 6.8115 3.2820 90.00 90.00 90.00
With the nearest neighbours (Å) after each atom.
Space group Cmmm (No. 65)
Inequivalent atoms, fractional coordinates:
Ni  0.0000  0.0000  0.0000 [2 per cell]  2 As 2.62, 8 P 2.70
As  0.0000  0.5000  0.0000 [2 per cell]  2 Ni 2.62, 8 P 2.70
P  0.2500  0.2500  0.5000 [4 per cell]  2 P 2.62, 4 As 2.70, 4 Ni 2.70



[9]
LaNdY6: relaxed, PBE.

Computed properties:
The magnetization is 0.0 μB/cell. The calculation puts the calculated formation energy at 288.5 kJ/mol of formula units.

Lattice parameters (Å, degrees): 10.3170 6.7954 8.6748 90.00 105.21 90.00
With the nearest neighbours (Å) after each atom.
Space group C2/m (No. 12)
Inequivalent atoms, fractional coordinates:
La  0.0000  0.0000  0.0000 [2 per cell]  8 Y 3.49-3.54
Nd  0.0000  0.0000  0.5000 [2 per cell]  6 Y 3.35-3.74
Y  0.1265  0.5000  0.4257 [4 per cell]  5 Y 3.20-3.53
Y  0.1987  0.2588  0.7989 [8 per cell]  5 Y 3.28-3.53, 1 Nd 3.35, 2 La 3.49-3.54



[10]
BeCd2Cl: relaxed, PBE.

Computed properties:
The magnetization is 0.0 μB/cell. Its uncorrected formation energy is 0.469 eV/atom.

Lattice parameters (Å, degrees): 7.0832 7.0832 7.0832 90.00 90.00 90.00
With the nearest neighbours (Å) after each atom.
Space group Fm-3m (No. 225)
Inequivalent atoms, fractional coordinates:
Be  0.0000  0.0000  0.0000 [4 per cell]  8 Cd 3.07
Cd  0.2500  0.2500  0.2500 [8 per cell]  4 Cl 3.07, 4 Be 3.07
Cl  0.0000  0.0000  0.5000 [4 per cell]  8 Cd 3.07



[11]
LaMn2Ag: relaxed, PBE.

Computed properties:
The magnetization is 2.0 μB/cell. The calculation puts the calculated formation energy at 134.8 kJ/mol of formula units.

Lattice parameters (Å, degrees): 3.2955 4.9193 10.0132 90.00 90.00 90.00
With the nearest neighbours (Å) after each atom.
Space group Imm2 (No. 44)
Inequivalent atoms, fractional coordinates:
La  0.0000  0.0000  0.0000 [2 per cell]  8 Mn 2.97-3.32, 4 Ag 3.27-3.29, 2 La 3.30
Mn  0.0000  0.0000  0.5191 [2 per cell]  2 Mn 2.54
Mn  0.0000  0.5000  0.2122 [2 per cell]  2 Mn 2.54
Ag  0.0000  0.5000  0.7821 [2 per cell]  6 Mn 2.89-3.04



[12]
HoU2C3: relaxed, PBE.

Computed properties:
The magnetization is 0.0 μB/cell. The calculation puts the calculated formation energy at -123.8 kJ/mol of formula units.

Lattice parameters (Å, degrees): 3.5351 5.0302 10.3759 90.00 90.00 90.00
With the nearest neighbours (Å) after each atom.
Space group Immm (No. 71)
Inequivalent atoms, fractional coordinates:
Ho  0.0000  0.0000  0.0000 [2 per cell]  6 C 2.52-2.60
U  0.0000  0.0000  0.3355 [4 per cell]  6 C 2.36-2.52
C  0.0000  0.5000  0.0000 [2 per cell]  4 U 2.46, 2 Ho 2.52
C  0.0000  0.5000  0.3158 [4 per cell]  4 U 2.36-2.52, 2 Ho 2.60